Record 1
DFT (PBE-GGA) results for a relaxed La6HIr2Cl3 crystal.

calculated volume	27.84	A^3/atom
E	-5.861	eV per atom

Cell lengths 7.1379, 12.3312, 7.9602 Å; angles 90.00, 107.50, 90.00 degrees
Last column: nearest neighbours and their distance in Å.
Space group C2/m (No. 12)
Unique sites:
La 0.2324 0.0000 0.2073 (multiplicity 4)  2 Ir 2.84, 1 H 2.88
La 0.2368 0.3318 0.2070 (multiplicity 8)  2 Ir 2.84-2.85, 1 H 2.86
H 0.0000 0.5000 0.0000 (multiplicity 2)  6 La 2.86-2.88
Ir 0.0000 0.1665 0.0000 (multiplicity 4)  6 La 2.84-2.85
Cl 0.0000 0.0000 0.5000 (multiplicity 2)  6 La 3.24-3.26
Cl 0.0000 0.3305 0.5000 (multiplicity 4)  6 La 3.22-3.28



Record 2
DFT (PBE-GGA) results for a relaxed La8HIr3Cl4 crystal.

calculated volume	28.16	A^3/atom
E	-6.010	eV per atom

Cell lengths 8.2715, 8.2715, 22.8118 Å; angles 90.00, 90.00, 120.00 degrees
Last column: nearest neighbours and their distance in Å.
Space group R-3m (No. 166, hexagonal axes)
Unique sites:
La 0.0000 0.0000 0.2355 (multiplicity 6)  3 Ir 2.86
La 0.0018 0.5009 0.7647 (multiplicity 18)  2 Ir 2.85, 1 H 2.87
H 0.0000 0.0000 0.5000 (multiplicity 3)  6 La 2.87
Ir 0.0000 0.5000 0.5000 (multiplicity 9)  6 La 2.85-2.86
Cl 0.0000 0.0000 0.0000 (multiplicity 3)  6 La 3.26
Cl 0.0000 0.5000 0.0000 (multiplicity 9)  6 La 3.27-3.28